# Tc2BiN, relaxed, DFT GGA-PBEsol
# Formation energy without anion corrections in eV/atom: 0.3863
data_Tc2BiN
_chemical_formula_sum 'Tc8 Bi4 N4'
_cell_length_a 5.545
_cell_length_b 5.545
_cell_length_c 9.005
_cell_angle_alpha 90.00
_cell_angle_beta 90.00
_cell_angle_gamma 90.00
_symmetry_space_group_name_H-M 'I -4 2 d'
_symmetry_Int_Tables_number 122
_symmetry_space_group_name_Hall 'I -4 2bw'
loop_
_atom_site_label
_atom_site_fract_x
_atom_site_fract_y
_atom_site_fract_z
Tc1 0.118 0.750 0.125
Bi1 0.000 0.000 0.500
N1 0.000 0.000 0.000